Tm4ThCd5 | PBE | optimized geometry

Cell and atoms, written as CIF:
```
data_Tm4ThCd5
_chemical_formula_sum 'Tm4 Th1 Cd5'
_cell_length_a 3.6662
_cell_length_b 3.6662
_cell_length_c 19.2045
_cell_angle_alpha 90.00
_cell_angle_beta 90.00
_cell_angle_gamma 90.00
_space_group_name_H-M_alt 'P 4/m m m'
_space_group_IT_number 123
_space_group_name_Hall '-P 4 2'
loop_
_atom_site_label
_atom_site_type_symbol
_atom_site_fract_x
_atom_site_fract_y
_atom_site_fract_z
Tm1 Tm 0.0000 0.0000 0.0973
Tm2 Tm 0.0000 0.0000 0.2917
Th1 Th 0.0000 0.0000 0.5000
Cd1 Cd 0.5000 0.5000 0.0000
Cd2 Cd 0.5000 0.5000 0.1951
Cd3 Cd 0.5000 0.5000 0.3862
```

Output
Formation energy   -0.26 eV per atom

***

ZnPH5C2N4O3 | PBE | optimized geometry

Cell and atoms, written as CIF:
```
data_ZnPH5C2N4O3
_chemical_formula_sum 'Zn4 P4 H20 C8 N16 O12'
_cell_length_a 9.8250
_cell_length_b 8.8022
_cell_length_c 9.2299
_cell_angle_alpha 90.00
_cell_angle_beta 103.68
_cell_angle_gamma 90.00
_space_group_name_H-M_alt 'P 1 21/c 1'
_space_group_IT_number 14
_space_group_name_Hall '-P 2ybc'
loop_
_atom_site_label
_atom_site_type_symbol
_atom_site_fract_x
_atom_site_fract_y
_atom_site_fract_z
Zn1 Zn 0.1768 0.1155 0.4499
P1 P 0.0175 0.1522 0.7083
H1 H 0.0216 0.7118 0.3710
H2 H 0.1765 0.0303 0.9872
H3 H 0.2258 0.5699 0.6556
H4 H 0.2723 0.5309 0.2872
H5 H 0.3975 0.6723 0.3046
C1 C 0.3342 0.6257 0.4970
C2 C 0.4767 0.2112 0.4461
N1 N 0.2410 0.5483 0.5518
N2 N 0.3446 0.5988 0.3568
N3 N 0.3762 0.1483 0.4659
N4 N 0.4164 0.7280 0.5879
O1 O 0.0751 0.1934 0.8740
O2 O 0.1153 0.5538 0.8104
O3 O 0.1322 0.0763 0.6435
```

Output
E above lowest polymorph   0 meV/atom

***

Pu4GeAs | PBE | optimized geometry

Cell and atoms, written as CIF:
```
data_Pu4GeAs
_chemical_formula_sum 'Pu8 Ge2 As2'
_cell_length_a 9.8010
_cell_length_b 3.8451
_cell_length_c 7.8037
_cell_angle_alpha 90.00
_cell_angle_beta 116.04
_cell_angle_gamma 90.00
_space_group_name_H-M_alt 'C 1 2/m 1'
_space_group_IT_number 12
_space_group_name_Hall '-C 2y'
loop_
_atom_site_label
_atom_site_type_symbol
_atom_site_fract_x
_atom_site_fract_y
_atom_site_fract_z
Pu1 Pu 0.1444 0.0000 0.3289
Pu2 Pu 0.1448 0.0000 0.8296
Ge1 Ge 0.0000 0.5000 0.5000
As1 As 0.0000 0.5000 0.0000
```

Output
Formation energy   -0.48 eV per atom

***

Li4P2O7 | PBE | optimized geometry

Cell and atoms, written as CIF:
```
data_Li4P2O7
_chemical_formula_sum 'Li16 P8 O28'
_cell_length_a 5.2557
_cell_length_b 14.1742
_cell_length_c 9.5414
_cell_angle_alpha 90.00
_cell_angle_beta 123.26
_cell_angle_gamma 90.00
_space_group_name_H-M_alt 'P 1 21/c 1'
_space_group_IT_number 14
_space_group_name_Hall '-P 2ybc'
loop_
_atom_site_label
_atom_site_type_symbol
_atom_site_fract_x
_atom_site_fract_y
_atom_site_fract_z
Li1 Li 0.1047 0.1037 0.4339
Li2 Li 0.1478 0.7159 0.9500
Li3 Li 0.2564 0.1758 0.9537
Li4 Li 0.2608 0.5587 0.4409
P1 P 0.4364 0.0507 0.2624
P2 P 0.4439 0.6660 0.7616
O1 O 0.1426 0.0678 0.2546
O2 O 0.1487 0.6871 0.7496
O3 O 0.2787 0.2187 0.5954
O4 O 0.2947 0.6097 0.1081
O5 O 0.3865 0.0537 0.0873
O6 O 0.4084 0.6715 0.5906
O7 O 0.4482 0.0574 0.6675
```

Output
E above lowest polymorph   0 meV/atom

***

NpCd2SbO8 | PBE | optimized geometry

Cell and atoms, written as CIF:
```
data_NpCd2SbO8
_chemical_formula_sum 'Np1 Cd2 Sb1 O8'
_cell_length_a 5.0425
_cell_length_b 6.6844
_cell_length_c 5.0438
_cell_angle_alpha 90.00
_cell_angle_beta 93.33
_cell_angle_gamma 90.00
_space_group_name_H-M_alt 'P 1 2/m 1'
_space_group_IT_number 10
_space_group_name_Hall '-P 2y'
loop_
_atom_site_label
_atom_site_type_symbol
_atom_site_fract_x
_atom_site_fract_y
_atom_site_fract_z
Np1 Np 0.0000 0.0000 0.0000
Cd1 Cd 0.5000 0.2604 0.5000
Sb1 Sb 0.0000 0.5000 0.0000
O1 O 0.1775 0.2506 0.8241
O2 O 0.2768 0.5000 0.2788
O3 O 0.2778 0.0000 0.2797
```

Output
Final energy   -78.23 eV per cell

***

CeGdRh | PBE | optimized geometry

Cell and atoms, written as CIF:
```
data_CeGdRh
_chemical_formula_sum 'Ce2 Gd2 Rh2'
_cell_length_a 3.5608
_cell_length_b 3.5608
_cell_length_c 11.6372
_cell_angle_alpha 90.00
_cell_angle_beta 90.00
_cell_angle_gamma 90.00
_space_group_name_H-M_alt 'I 4 m m'
_space_group_IT_number 107
_space_group_name_Hall 'I 4 -2'
loop_
_atom_site_label
_atom_site_type_symbol
_atom_site_fract_x
_atom_site_fract_y
_atom_site_fract_z
Ce1 Ce 0.0000 0.0000 0.0000
Gd1 Gd 0.0000 0.0000 0.7189
Rh1 Rh 0.0000 0.0000 0.3731
```

Output
Formation energy   -0.46 eV per atom
E above lowest polymorph   0 meV/atom

***

DyTmTi | PBE | optimized geometry

Cell and atoms, written as CIF:
```
data_DyTmTi
_chemical_formula_sum 'Dy1 Tm1 Ti1'
_cell_length_a 5.2272
_cell_length_b 5.2272
_cell_length_c 3.2842
_cell_angle_alpha 90.00
_cell_angle_beta 90.00
_cell_angle_gamma 120.00
_space_group_name_H-M_alt 'P -6 m 2'
_space_group_IT_number 187
_space_group_name_Hall 'P -6 2'
loop_
_atom_site_label
_atom_site_type_symbol
_atom_site_fract_x
_atom_site_fract_y
_atom_site_fract_z
Dy1 Dy 0.0000 0.0000 0.0000
Tm1 Tm 0.3333 0.6667 0.5000
Ti1 Ti 0.6667 0.3333 0.5000
```

Output
Formation energy   0.22 eV per atom
E above lowest polymorph   142 meV/atom

***

Zn2TeIr | PBE | optimized geometry

Cell and atoms, written as CIF:
```
data_Zn2TeIr
_chemical_formula_sum 'Zn8 Te4 Ir4'
_cell_length_a 6.0154
_cell_length_b 6.0154
_cell_length_c 11.5278
_cell_angle_alpha 90.00
_cell_angle_beta 90.00
_cell_angle_gamma 90.00
_space_group_name_H-M_alt 'I -4 2 d'
_space_group_IT_number 122
_space_group_name_Hall 'I -4 2bw'
loop_
_atom_site_label
_atom_site_type_symbol
_atom_site_fract_x
_atom_site_fract_y
_atom_site_fract_z
Zn1 Zn 0.2187 0.2500 0.1250
Te1 Te 0.0000 0.0000 0.5000
Ir1 Ir 0.0000 0.0000 0.0000
```

Output
Final energy   -49.46 eV per cell

***

La3WC | PBE | optimized geometry

Cell and atoms, written as CIF:
```
data_La3WC
_chemical_formula_sum 'La3 W1 C1'
_cell_length_a 5.0827
_cell_length_b 5.0827
_cell_length_c 5.0827
_cell_angle_alpha 90.00
_cell_angle_beta 90.00
_cell_angle_gamma 90.00
_space_group_name_H-M_alt 'P m -3 m'
_space_group_IT_number 221
_space_group_name_Hall '-P 4 2 3'
loop_
_atom_site_label
_atom_site_type_symbol
_atom_site_fract_x
_atom_site_fract_y
_atom_site_fract_z
La1 La 0.0000 0.0000 0.5000
W1 W 0.5000 0.5000 0.5000
C1 C 0.0000 0.0000 0.0000
```

Output
Formation energy   0.67 eV per atom
E above lowest polymorph   0 meV/atom

***

Eu2YPb | PBE | optimized geometry

Cell and atoms, written as CIF:
```
data_Eu2YPb
_chemical_formula_sum 'Eu2 Y1 Pb1'
_cell_length_a 4.3568
_cell_length_b 4.3568
_cell_length_c 7.0109
_cell_angle_alpha 90.00
_cell_angle_beta 90.00
_cell_angle_gamma 90.00
_space_group_name_H-M_alt 'P 4/m m m'
_space_group_IT_number 123
_space_group_name_Hall '-P 4 2'
loop_
_atom_site_label
_atom_site_type_symbol
_atom_site_fract_x
_atom_site_fract_y
_atom_site_fract_z
Eu1 Eu 0.0000 0.0000 0.2322
Y1 Y 0.5000 0.5000 0.5000
Pb1 Pb 0.5000 0.5000 0.0000
```

Output
Formation energy   -0.19 eV per atom
E above lowest polymorph   110 meV/atom

***

Mg2CoTe | PBE | optimized geometry

Cell and atoms, written as CIF:
```
data_Mg2CoTe
_chemical_formula_sum 'Mg8 Co4 Te4'
_cell_length_a 6.6789
_cell_length_b 6.6789
_cell_length_c 6.6789
_cell_angle_alpha 90.00
_cell_angle_beta 90.00
_cell_angle_gamma 90.00
_space_group_name_H-M_alt 'F -4 3 m'
_space_group_IT_number 216
_space_group_name_Hall 'F -4 2 3'
loop_
_atom_site_label
_atom_site_type_symbol
_atom_site_fract_x
_atom_site_fract_y
_atom_site_fract_z
Mg1 Mg 0.0000 0.0000 0.0000
Mg2 Mg 0.2500 0.2500 0.2500
Co1 Co 0.2500 0.2500 0.7500
Te1 Te 0.0000 0.0000 0.5000
```

Output
Final energy   -50.74 eV per cell

***

Pr12Sm7In | PBE | optimized geometry

Cell and atoms, written as CIF:
```
data_Pr12Sm7In
_chemical_formula_sum 'Pr36 Sm21 In3'
_cell_length_a 12.4858
_cell_length_b 12.4858
_cell_length_c 15.5672
_cell_angle_alpha 90.00
_cell_angle_beta 90.00
_cell_angle_gamma 120.00
_space_group_name_H-M_alt 'R -3'
_space_group_IT_number 148
_space_group_name_Hall '-R 3'
loop_
_atom_site_label
_atom_site_type_symbol
_atom_site_fract_x
_atom_site_fract_y
_atom_site_fract_z
Pr1 Pr 0.0303 0.5831 0.2081
Pr2 Pr 0.0574 0.4705 0.5862
Sm1 Sm 0.0000 0.0000 0.0000
Sm2 Sm 0.0526 0.8694 0.3027
In1 In 0.0000 0.0000 0.5000
```

Output
Formation energy   0.13 eV per atom
E above lowest polymorph   0 meV/atom

***

Which total moment belongs to each record? In order, 0.0, 0.0, 0.2, 0.0, 0.0, 16.9, 1.6, 4.0, 0.0, 14.7, 0.0, 0.0 Bohr magnetons per cell.
Which volume belongs to each record? In order, 258, 776, 264, 594, 170, 148, 78, 417, 131, 133, 298, 2102 Å³/cell.